# 1
Computed, not measured: a relaxed structure of Sr2BeWO6 at the PBE+U level of DFT.

Results
Crystal system ... triclinic
Electronic total energy ... -6.95 eV per atom

abc: 5.409 5.430 5.492
angles: 112.77 98.52 116.85
Element x y z (fractional)
Sr  0.000  0.000  0.000
Sr  0.492  0.974  0.464
Be  0.761  0.575  0.326
W  0.248  0.473  0.721
O  0.019  0.977  0.479
O  0.450  0.920  0.924
O  0.523  0.494  0.015
O  0.523  0.496  0.498
O  0.975  0.442  0.411
O  0.976  0.417  0.899


# 2
Computed, not measured: a relaxed structure of SrBe4W3O12 at the PBE+U level of DFT.

Results
Crystal system ... trigonal
Electronic total energy ... -7.20 eV per atom

abc: 6.437 6.437 6.437
angles: 104.83 104.83 104.83
Element x y z (fractional)
Sr  0.000  0.000  0.000
Be  0.062  0.500  0.938
Be  0.500  0.500  0.500
Be  0.500  0.938  0.062
Be  0.938  0.062  0.500
W  0.000  0.555  0.445
W  0.445  0.000  0.555
W  0.555  0.445  0.000
O  0.036  0.631  0.769
O  0.092  0.908  0.500
O  0.231  0.369  0.964
O  0.348  0.652  0.500
O  0.369  0.964  0.231
O  0.500  0.092  0.908
O  0.500  0.348  0.652
O  0.631  0.769  0.036
O  0.652  0.500  0.348
O  0.769  0.036  0.631
O  0.908  0.500  0.092
O  0.964  0.231  0.369


What is the electronic total energy in the first record? -6.95 eV per atom


What is the formula in the first record? Sr2BeWO6


The highest electronic total energy belongs to which entry? Sr2BeWO6